First-principles (PBE with a Hubbard U) data for MnFe3Sn2P6O24 after structural relaxation, as listed in Alexandria.

Crystal system = trigonal
Total DFT energy (no corrections) = -0.2559 Ha/atom
Space-group type = No. 146

abc: 8.6826 8.6826 8.6826
angles: 60.09 60.09 60.09
Sites, in units of the cell vectors:
Mn1 0.1518 0.1518 0.1518
Fe1 0.8498 0.8498 0.8498
Fe2 0.6461 0.6461 0.6461
Fe3 0.3526 0.3526 0.3526
Sn1 0.0008 0.0008 0.0008
Sn2 0.5011 0.5011 0.5011
P1 0.5529 0.9535 0.2524
P2 0.2524 0.5529 0.9535
P3 0.0360 0.7470 0.4565
P4 0.7470 0.4565 0.0360
P5 0.4565 0.0360 0.7470
P6 0.9535 0.2524 0.5529
O1 0.5066 0.8894 0.6696
O2 0.8894 0.6696 0.5066
O3 0.7498 0.9469 0.0837
O4 0.6696 0.5066 0.8894
O5 0.4065 0.9703 0.1949
O6 0.5925 0.7531 0.4078
O7 0.0837 0.7498 0.9469
O8 0.4078 0.5925 0.7531
O9 0.0007 0.8198 0.6038
O10 0.7531 0.4078 0.5925
O11 0.0435 0.9085 0.2573
O12 0.8198 0.6038 0.0007
O13 0.1949 0.4065 0.9703
O14 0.9469 0.0837 0.7498
O15 0.2381 0.5933 0.4309
O16 0.9703 0.1949 0.4065
O17 0.5933 0.4309 0.2381
O18 0.9085 0.2573 0.0435
O19 0.4309 0.2381 0.5933
O20 0.6038 0.0007 0.8198
O21 0.3117 0.5076 0.1132
O22 0.2573 0.0435 0.9085
O23 0.1132 0.3117 0.5076
O24 0.5076 0.1132 0.3117